Crystalline TiMnF2 at its relaxed geometry, computed with GGA+U.

Cell: 4.524 4.524 12.821 Å, 90.00 90.00 90.00°
Space group I-42d (No. 122)
Unique sites:
Ti (0.000, 0.000, 0.000) (multiplicity 4)
Mn (0.000, 0.000, 0.500) (multiplicity 4)
F (0.116, 0.250, 0.125) (multiplicity 8)

Properties
Its volume is 65.6 Å³/f.u. The crystal system is tetragonal. As for the energy above the most stable polymorph in this dataset: 0.0424 eV per atom.